Li2AsRu (GGA-PBE, optimized geometry); energy relative to the elements = -0.148 eV per atom; SG = C2/m (12); total moment = 0.00 μB/cell; E = -18.34 eV for the cell shown
1.0
4.9833 0.0111 -0.0253
-2.6801 4.2012 -0.0253
0.3818 0.6984 2.7285
As Li Ru
1 2 1
direct
0.0000 0.5000 0.5000 As
0.5000 0.5000 0.0000 Li
0.0000 0.0000 0.0000 Li
0.5000 0.0000 0.5000 Ru